Entry 1:
A plane-wave DFT calculation with GGA-PBE was carried out for crystalline Ti5NbBi2 at its relaxed geometry.

Unit cell a=4.5543 b=7.0813 c=11.8713 alpha=90.00 beta=90.00 gamma=108.76
Each line ends with the local moment (μB).
Sites, in units of the cell vectors:
1 Bi 0.8953 0.7905 0.1121  -0.01
2 Bi 0.1047 0.2095 0.8879  -0.01
3 Bi 0.8953 0.7905 0.3879  -0.01
4 Bi 0.1047 0.2095 0.6121  -0.01
5 Ti 0.8895 0.7790 0.6363  -0.04
6 Ti 0.6771 0.3543 0.2500  0.00
7 Ti 0.6961 0.3923 0.4869  0.39
8 Ti 0.1105 0.2210 0.1363  -0.04
9 Ti 0.3229 0.6457 0.7500  0.00
10 Ti 0.1105 0.2210 0.3637  -0.04
11 Ti 0.3039 0.6077 0.5131  0.39
12 Ti 0.8895 0.7790 0.8637  -0.04
13 Ti 0.3039 0.6077 0.9869  0.39
14 Ti 0.6961 0.3923 0.0131  0.39
15 Nb 0.2934 0.5868 0.2500  -0.03
16 Nb 0.7066 0.4132 0.7500  -0.03

Properties
Its theoretical density is 6.9 g/cm3. The density of states at the Fermi level is 15.48 states/eV/cell. The total energy is -6.902 eV/atom. The calculation puts the formation energy at 0.2610 eV per atom. Its excess energy over the best structure of this formula in the dataset is 2.99 eV per formula unit.

---

Entry 2:
A plane-wave DFT calculation with GGA-PBE was carried out for crystalline Pm12SmTl7 at its relaxed geometry.

Unit cell a=9.0031 b=9.0031 c=9.0031 alpha=101.63 beta=101.63 gamma=101.63
Sites, in units of the cell vectors:
1 Tl 0.6428 0.9466 0.9832
2 Tl 0.9466 0.9832 0.6428
3 Tl 0.9832 0.6428 0.9466
4 Tl 0.5000 0.5000 0.5000
5 Tl 0.3572 0.0534 0.0168
6 Tl 0.0534 0.0168 0.3572
7 Tl 0.0168 0.3572 0.0534
8 Pm 0.6862 0.8187 0.2842
9 Pm 0.1813 0.7158 0.3138
10 Pm 0.2842 0.6862 0.8187
11 Pm 0.1229 0.3778 0.4456
12 Pm 0.6222 0.5544 0.8771
13 Pm 0.8771 0.6222 0.5544
14 Pm 0.7158 0.3138 0.1813
15 Pm 0.4456 0.1229 0.3778
16 Pm 0.5544 0.8771 0.6222
17 Pm 0.3138 0.1813 0.7158
18 Pm 0.8187 0.2842 0.6862
19 Pm 0.3778 0.4456 0.1229
20 Sm 0.0000 0.0000 0.0000

Properties
Its theoretical density is 8.1 g/cm3. The density of states at the Fermi level is 24.15 states/eV/cell. The total energy is -3.947 eV/atom. The calculation puts the formation energy at -0.0327 eV per atom.